# V2Os2W, relaxed, DFT PBE
# DOS at the Fermi energy = 1.285 states/eV per atom
# spin magnetization = 0.0 μB/f.u.
# energy above the lowest structure with this stoichiometry = 0 meV/atom
# formation energy from the elements = 108.3 meV per atom
data_V2Os2W
_cell_length_a 7.236
_cell_length_b 7.236
_cell_length_c 2.830
_cell_angle_alpha 90.00
_cell_angle_beta 90.00
_cell_angle_gamma 90.00
_symmetry_space_group_name_H-M 'P 4/m b m'
_symmetry_Int_Tables_number 127
_symmetry_space_group_name_Hall '-P 4 2ab'
loop_
_atom_site_label
_atom_site_fract_x
_atom_site_fract_y
_atom_site_fract_z
V1 0.162 0.338 0.000
Os1 0.137 0.637 0.500
W1 0.000 0.000 0.500


# V2Os2W, relaxed, DFT PBE
# DOS at the Fermi energy = 1.045 states/eV per atom
# spin magnetization = 0.0 μB/f.u.
# energy above the lowest structure with this stoichiometry = 401 meV/atom
# formation energy from the elements = 509.8 meV per atom
data_V2Os2W
_cell_length_a 3.888
_cell_length_b 3.888
_cell_length_c 10.680
_cell_angle_alpha 90.00
_cell_angle_beta 90.00
_cell_angle_gamma 90.00
_symmetry_space_group_name_H-M 'I 4/m m m'
_symmetry_Int_Tables_number 139
_symmetry_space_group_name_Hall '-I 4 2'
loop_
_atom_site_label
_atom_site_fract_x
_atom_site_fract_y
_atom_site_fract_z
V1 0.000 0.500 0.250
Os1 0.000 0.000 0.113
W1 0.000 0.000 0.500


# V6OsW, relaxed, DFT PBE
# DOS at the Fermi energy = 1.133 states/eV per atom
# spin magnetization = 0.0 μB/f.u.
# formation energy from the elements = -202.9 meV per atom
data_V6OsW
_cell_length_a 4.266
_cell_length_b 6.049
_cell_length_c 8.548
_cell_angle_alpha 90.00
_cell_angle_beta 90.00
_cell_angle_gamma 90.00
_symmetry_space_group_name_H-M 'A m m 2'
_symmetry_Int_Tables_number 38
loop_
_symmetry_equiv_pos_as_xyz
'x,y,z'
'-x,-y,z'
'-x,y,z'
'x,-y,z'
'x,y+1/2,z+1/2'
'-x,-y+1/2,z+1/2'
'-x,y+1/2,z+1/2'
'x,-y+1/2,z+1/2'
loop_
_atom_site_label
_atom_site_fract_x
_atom_site_fract_y
_atom_site_fract_z
V1 0.000 0.000 0.000
V2 0.000 0.247 0.752
V3 0.500 0.000 0.755
V4 0.500 0.248 0.002
Os1 0.000 0.000 0.504
W1 0.500 0.000 0.250